Entry from Alexandria via LeMat-Bulk: a relaxed NaGaH2 crystal (PBE).

Summary:
E above lowest polymorph, meV/atom: 0

Cell lengths 4.4001, 5.3672, 5.8881 Å; angles 117.05, 111.78, 90.00 degrees
Fractional positions:
Na1 0.0000 0.0000 0.0000
Na2 0.4997 0.4995 0.9994
Ga1 0.2500 0.8777 0.4995
Ga2 0.7499 0.1200 0.4994
H1 0.1194 0.5502 0.2369
H2 0.3805 0.8137 0.7631
H3 0.6193 0.1853 0.2367
H4 0.8804 0.4470 0.7629